# 1
Compound: Ac5Ni3Sn3
Source: the Alexandria database
Functional: GGA-PBE
Structure: relaxed

Values from the calculation:
* mass density: 7.9 g/cm3
* raw total energy: -4.833 eV per atom
* symmetry: No. 189

Lattice parameters (Å, degrees): 4.555 9.422 9.422 120.00 90.00 90.00
Fractional positions:
Ac (0.500, 0.333, 0.667)
Ac (0.500, 0.667, 0.333)
Ac (0.500, 0.239, 0.239)
Ac (0.500, 0.000, 0.761)
Ac (0.500, 0.761, 0.000)
Ni (0.500, 0.557, 0.557)
Ni (0.500, 0.000, 0.443)
Ni (0.500, 0.443, 0.000)
Sn (0.000, 0.665, 0.665)
Sn (0.000, 0.335, 0.000)
Sn (0.000, 0.000, 0.335)

---

# 2
Compound: Ac3Ni2Sn3
Source: the Alexandria database
Functional: GGA-PBE
Structure: relaxed

Values from the calculation:
* mass density: 8.7 g/cm3
* raw total energy: -5.051 eV per atom
* symmetry: No. 63

Lattice parameters (Å, degrees): 4.642 6.348 16.086 90.00 90.00 111.45
Fractional positions:
Ac (0.924, 0.848, 0.392)
Ac (0.076, 0.152, 0.892)
Ac (0.924, 0.848, 0.108)
Ac (0.076, 0.152, 0.608)
Ac (0.636, 0.272, 0.250)
Ac (0.364, 0.728, 0.750)
Ni (0.788, 0.577, 0.896)
Ni (0.212, 0.423, 0.396)
Ni (0.788, 0.577, 0.604)
Ni (0.212, 0.423, 0.104)
Sn (0.646, 0.293, 0.463)
Sn (0.354, 0.707, 0.963)
Sn (0.646, 0.293, 0.037)
Sn (0.354, 0.707, 0.537)
Sn (0.336, 0.672, 0.250)
Sn (0.664, 0.328, 0.750)

---

# 3
Compound: Ac2NiSn5
Source: the Alexandria database
Functional: GGA-PBE
Structure: relaxed

Values from the calculation:
* mass density: 7.8 g/cm3
* raw total energy: -4.668 eV per atom
* symmetry: No. 107

Lattice parameters (Å, degrees): 6.592 6.592 7.134 117.52 117.51 90.00
Fractional positions:
Ac (0.228, 0.728, 0.457)
Ac (0.728, 0.228, 0.457)
Ni (0.073, 0.073, 0.146)
Sn (0.723, 0.248, 0.971)
Sn (0.248, 0.248, 0.971)
Sn (0.723, 0.723, 0.971)
Sn (0.248, 0.723, 0.971)
Sn (0.804, 0.804, 0.609)

---

# 4
Compound: AcNi3Sn2
Source: the Alexandria database
Functional: GGA-PBE
Structure: relaxed

Values from the calculation:
* mass density: 8.7 g/cm3
* symmetry: No. 12
* ΔE to the lowest computed polymorph: 0 meV/atom

Lattice parameters (Å, degrees): 4.419 8.588 7.467 115.78 90.00 104.91
Fractional positions:
Ac (0.845, 0.689, 0.904)
Ac (0.155, 0.311, 0.096)
Ni (0.300, 0.599, 0.537)
Ni (0.007, 0.014, 0.665)
Ni (0.587, 0.174, 0.628)
Ni (0.413, 0.826, 0.372)
Ni (0.993, 0.986, 0.335)
Ni (0.700, 0.401, 0.463)
Sn (0.472, 0.944, 0.775)
Sn (0.528, 0.056, 0.225)
Sn (0.833, 0.666, 0.373)
Sn (0.167, 0.334, 0.627)

---

# 5
Compound: AcNi4Sn4
Source: the Alexandria database
Functional: GGA-PBE
Structure: relaxed

Values from the calculation:
* mass density: 8.2 g/cm3
* raw total energy: -5.073 eV per atom
* symmetry: No. 86

Lattice parameters (Å, degrees): 5.090 8.644 8.644 90.00 90.00 90.00
Fractional positions:
Ac (0.000, 0.000, 0.000)
Ac (0.500, 0.500, 0.500)
Ni (0.587, 0.820, 0.336)
Ni (0.587, 0.180, 0.664)
Ni (0.087, 0.836, 0.680)
Ni (0.913, 0.320, 0.836)
Ni (0.913, 0.680, 0.164)
Ni (0.413, 0.336, 0.180)
Ni (0.413, 0.664, 0.820)
Ni (0.087, 0.164, 0.320)
Sn (0.415, 0.355, 0.883)
Sn (0.915, 0.617, 0.855)
Sn (0.415, 0.645, 0.117)
Sn (0.085, 0.145, 0.617)
Sn (0.585, 0.883, 0.645)
Sn (0.085, 0.855, 0.383)
Sn (0.915, 0.383, 0.145)
Sn (0.585, 0.117, 0.355)

---

# 6
Compound: Ac6NiSn2
Source: the Alexandria database
Functional: GGA-PBE
Structure: relaxed

Values from the calculation:
* mass density: 8.1 g/cm3
* raw total energy: -4.651 eV per atom
* symmetry: No. 14

Lattice parameters (Å, degrees): 7.023 9.013 10.782 90.00 91.44 90.00
Fractional positions:
Ac (0.884, 0.971, 0.247)
Ac (0.870, 0.688, 0.551)
Ac (0.862, 0.672, 0.948)
Ac (0.638, 0.172, 0.552)
Ac (0.630, 0.188, 0.949)
Ac (0.616, 0.471, 0.253)
Ac (0.116, 0.029, 0.753)
Ac (0.130, 0.312, 0.449)
Ac (0.138, 0.328, 0.052)
Ac (0.362, 0.828, 0.448)
Ac (0.370, 0.812, 0.051)
Ac (0.384, 0.529, 0.747)
Ni (0.500, 0.500, 0.000)
Ni (0.000, 0.000, 0.500)
Sn (0.920, 0.382, 0.747)
Sn (0.580, 0.882, 0.753)
Sn (0.420, 0.118, 0.247)
Sn (0.080, 0.618, 0.253)

---

# 7
Compound: AcNi3Sn3
Source: the Alexandria database
Functional: GGA-PBE
Structure: relaxed

Values from the calculation:
* mass density: 7.5 g/cm3
* raw total energy: -4.899 eV per atom
* symmetry: No. 223

Lattice parameters (Å, degrees): 6.959 6.959 6.959 90.00 90.00 90.00
Fractional positions:
Ni (0.250, 0.000, 0.500)
Ni (0.000, 0.500, 0.250)
Ni (0.500, 0.750, 0.000)
Ni (0.750, 0.000, 0.500)
Ni (0.000, 0.500, 0.750)
Ni (0.500, 0.250, 0.000)
Ac (0.500, 0.500, 0.500)
Ac (0.000, 0.000, 0.000)
Sn (0.000, 0.250, 0.500)
Sn (0.000, 0.750, 0.500)
Sn (0.500, 0.000, 0.750)
Sn (0.750, 0.500, 0.000)
Sn (0.500, 0.000, 0.250)
Sn (0.250, 0.500, 0.000)

---

# 8
Compound: AcNiSn3
Source: the Alexandria database
Functional: GGA-PBE
Structure: relaxed

Values from the calculation:
* mass density: 7.9 g/cm3
* symmetry: No. 221
* ΔE to the lowest computed polymorph: 242 meV/atom

Lattice parameters (Å, degrees): 5.121 5.121 5.121 90.00 90.00 90.00
Fractional positions:
Ni (0.000, 0.000, 0.000)
Ac (0.500, 0.500, 0.500)
Sn (0.000, 0.500, 0.000)
Sn (0.000, 0.000, 0.500)
Sn (0.500, 0.000, 0.000)

---

# 9
Compound: Ac2NiSn
Source: the Alexandria database
Functional: GGA-PBE
Structure: relaxed

Values from the calculation:
* mass density: 8.4 g/cm3
* raw total energy: -4.823 eV per atom
* symmetry: No. 12

Lattice parameters (Å, degrees): 4.892 9.307 6.435 111.03 112.34 90.00
Fractional positions:
Ac (0.165, 0.582, 0.330)
Ac (0.835, 0.418, 0.670)
Ac (0.165, 0.082, 0.330)
Ac (0.835, 0.918, 0.670)
Ni (0.000, 0.750, 0.000)
Ni (0.000, 0.250, 0.000)
Sn (0.500, 0.250, 0.000)
Sn (0.500, 0.750, 0.000)

---

# 10
Compound: AcNiSn2
Source: the Alexandria database
Functional: GGA-PBE
Structure: relaxed

Values from the calculation:
* mass density: 8.1 g/cm3
* symmetry: No. 166
* ΔE to the lowest computed polymorph: 487 meV/atom

Lattice parameters (Å, degrees): 5.634 5.634 5.083 56.35 56.35 60.00
Fractional positions:
Ni (0.000, 0.000, 0.000)
Ac (0.500, 0.500, 0.500)
Sn (0.222, 0.222, 0.333)
Sn (0.778, 0.778, 0.667)

---

# 11
Compound: AcNiSn2
Source: the Alexandria database
Functional: GGA-PBE
Structure: relaxed

Values from the calculation:
* mass density: 8.6 g/cm3
* symmetry: No. 71
* ΔE to the lowest computed polymorph: 16 meV/atom

Lattice parameters (Å, degrees): 4.674 9.552 10.488 117.09 102.88 90.00
Fractional positions:
Ac (0.707, 0.707, 0.415)
Ac (0.500, 0.258, 0.000)
Ac (0.500, 0.742, 0.000)
Ac (0.293, 0.293, 0.585)
Ni (0.852, 0.600, 0.703)
Ni (0.148, 0.400, 0.297)
Ni (0.148, 0.896, 0.297)
Ni (0.852, 0.104, 0.703)
Sn (0.921, 0.421, 0.842)
Sn (0.692, 0.352, 0.383)
Sn (0.692, 0.031, 0.383)
Sn (0.308, 0.648, 0.617)
Sn (0.085, 0.085, 0.170)
Sn (0.079, 0.579, 0.158)
Sn (0.915, 0.915, 0.830)
Sn (0.308, 0.969, 0.617)

---

# 12
Compound: Ac2NiSn
Source: the Alexandria database
Functional: GGA-PBE
Structure: relaxed

Values from the calculation:
* mass density: 8.9 g/cm3
* raw total energy: -4.848 eV per atom
* symmetry: No. 123

Lattice parameters (Å, degrees): 3.779 3.779 8.270 90.00 90.00 90.00
Fractional positions:
Ni (0.500, 0.500, 0.000)
Ac (0.000, 0.000, 0.784)
Ac (0.000, 0.000, 0.216)
Sn (0.500, 0.500, 0.500)

---

# 13
Compound: Ac2Ni3Sn5
Source: the Alexandria database
Functional: GGA-PBE
Structure: relaxed

Values from the calculation:
* mass density: 8.8 g/cm3
* symmetry: No. 36
* ΔE to the lowest computed polymorph: 84 meV/atom

Lattice parameters (Å, degrees): 4.549 7.438 13.886 90.00 99.43 90.00
Fractional positions:
Ac (0.473, 0.750, 0.945)
Ac (0.173, 0.745, 0.346)
Ac (0.827, 0.245, 0.654)
Ac (0.527, 0.250, 0.055)
Ni (0.778, 0.727, 0.556)
Ni (0.609, 0.512, 0.218)
Ni (0.053, 0.963, 0.106)
Ni (0.222, 0.227, 0.444)
Ni (0.947, 0.463, 0.894)
Ni (0.391, 0.012, 0.782)
Sn (0.407, 0.370, 0.815)
Sn (0.285, 0.529, 0.571)
Sn (0.715, 0.029, 0.429)
Sn (0.125, 0.248, 0.250)
Sn (0.296, 0.933, 0.593)
Sn (0.947, 0.088, 0.894)
Sn (0.704, 0.433, 0.407)
Sn (0.875, 0.748, 0.750)
Sn (0.053, 0.588, 0.106)
Sn (0.593, 0.870, 0.185)

---

# 14
Compound: Ac4Ni3Sn
Source: the Alexandria database
Functional: GGA-PBE
Structure: relaxed

Values from the calculation:
* mass density: 8.9 g/cm3
* raw total energy: -5.033 eV per atom
* symmetry: No. 25

Lattice parameters (Å, degrees): 4.439 4.545 11.171 90.00 90.00 90.00
Fractional positions:
Ac (0.500, 0.500, 0.376)
Ac (0.000, 0.500, 0.840)
Ac (0.000, 0.000, 0.152)
Ac (0.500, 0.000, 0.640)
Ni (0.000, 0.500, 0.561)
Ni (0.000, 0.000, 0.453)
Ni (0.500, 0.000, 0.919)
Sn (0.500, 0.500, 0.060)

---

# 15
Compound: AcNiSn2
Source: the Alexandria database
Functional: GGA-PBE
Structure: relaxed

Values from the calculation:
* mass density: 8.9 g/cm3
* symmetry: No. 123
* ΔE to the lowest computed polymorph: 385 meV/atom

Lattice parameters (Å, degrees): 3.528 3.528 7.810 90.00 90.00 90.00
Fractional positions:
Ni (0.500, 0.500, 0.000)
Ac (0.500, 0.500, 0.500)
Sn (0.000, 0.000, 0.814)
Sn (0.000, 0.000, 0.186)

---

# 16
Compound: Ac7Ni2Sn3
Source: the Alexandria database
Functional: GGA-PBE
Structure: relaxed

Values from the calculation:
* mass density: 8.1 g/cm3
* raw total energy: -4.705 eV per atom
* symmetry: No. 65

Lattice parameters (Å, degrees): 5.337 5.596 14.375 101.22 90.00 90.00
Fractional positions:
Ac (0.000, 0.394, 0.788)
Ac (0.000, 0.790, 0.581)
Ac (0.000, 0.000, 0.000)
Ac (0.000, 0.606, 0.212)
Ac (0.500, 0.098, 0.197)
Ac (0.500, 0.902, 0.803)
Ac (0.000, 0.210, 0.419)
Ni (0.000, 0.895, 0.790)
Ni (0.000, 0.105, 0.210)
Sn (0.500, 0.500, 0.000)
Sn (0.500, 0.689, 0.379)
Sn (0.500, 0.311, 0.621)

---

# 17
Compound: AcNi2Sn5
Source: the Alexandria database
Functional: GGA-PBE
Structure: relaxed

Values from the calculation:
* mass density: 8.0 g/cm3
* raw total energy: -4.746 eV per atom
* symmetry: No. 71

Lattice parameters (Å, degrees): 4.311 7.616 7.616 55.12 73.56 73.56
Fractional positions:
Ac (0.000, 0.000, 0.000)
Ni (0.802, 0.698, 0.698)
Ni (0.198, 0.302, 0.302)
Sn (0.000, 0.500, 0.500)
Sn (0.660, 0.563, 0.117)
Sn (0.340, 0.437, 0.883)
Sn (0.340, 0.883, 0.437)
Sn (0.660, 0.117, 0.563)

---

# 18
Compound: AcNi2Sn3
Source: the Alexandria database
Functional: GGA-PBE
Structure: relaxed

Values from the calculation:
* mass density: 8.4 g/cm3
* symmetry: No. 139
* ΔE to the lowest computed polymorph: 0 meV/atom

Lattice parameters (Å, degrees): 4.555 4.555 13.660 99.60 99.60 90.00
Fractional positions:
Ac (0.842, 0.842, 0.684)
Ac (0.158, 0.158, 0.316)
Ni (0.250, 0.750, 0.500)
Ni (0.750, 0.250, 0.500)
Ni (0.397, 0.397, 0.794)
Ni (0.603, 0.603, 0.206)
Sn (0.445, 0.945, 0.890)
Sn (0.945, 0.445, 0.890)
Sn (0.555, 0.055, 0.110)
Sn (0.298, 0.298, 0.597)
Sn (0.702, 0.702, 0.403)
Sn (0.055, 0.555, 0.110)

---

# 19
Compound: Ac2Ni4Sn3
Source: the Alexandria database
Functional: GGA-PBE
Structure: relaxed

Values from the calculation:
* mass density: 9.3 g/cm3
* raw total energy: -5.210 eV per atom
* symmetry: No. 64

Lattice parameters (Å, degrees): 6.353 7.120 8.836 90.00 111.07 90.00
Fractional positions:
Ac (0.104, 0.578, 0.208)
Ac (0.896, 0.422, 0.792)
Ac (0.396, 0.078, 0.792)
Ac (0.604, 0.922, 0.208)
Ni (0.676, 0.750, 0.851)
Ni (0.824, 0.250, 0.149)
Ni (0.324, 0.250, 0.149)
Ni (0.176, 0.750, 0.851)
Ni (0.165, 0.999, 0.330)
Ni (0.835, 0.001, 0.670)
Ni (0.335, 0.499, 0.670)
Ni (0.665, 0.501, 0.330)
Sn (0.000, 0.000, 0.000)
Sn (0.500, 0.500, 0.000)
Sn (0.514, 0.750, 0.529)
Sn (0.986, 0.250, 0.471)
Sn (0.486, 0.250, 0.471)
Sn (0.014, 0.750, 0.529)

---

# 20
Compound: Ac2NiSn
Source: the Alexandria database
Functional: GGA-PBE
Structure: relaxed

Values from the calculation:
* mass density: 8.0 g/cm3
* raw total energy: -4.175 eV per atom
* symmetry: No. 166

Lattice parameters (Å, degrees): 3.738 3.738 10.992 80.21 80.21 60.00
Fractional positions:
Ni (0.000, 0.000, 0.000)
Ac (0.082, 0.082, 0.754)
Ac (0.918, 0.918, 0.246)
Sn (0.500, 0.500, 0.500)

---

# 21
Compound: Ac12NiSn6
Source: the Alexandria database
Functional: GGA-PBE
Structure: relaxed

Values from the calculation:
* mass density: 7.3 g/cm3
* raw total energy: -4.538 eV per atom
* symmetry: No. 148

Lattice parameters (Å, degrees): 9.389 9.389 9.389 99.24 99.24 99.24
Fractional positions:
Ac (0.809, 0.573, 0.436)
Ac (0.436, 0.809, 0.573)
Ac (0.573, 0.436, 0.809)
Ac (0.191, 0.427, 0.564)
Ac (0.564, 0.191, 0.427)
Ac (0.427, 0.564, 0.191)
Ac (0.055, 0.992, 0.315)
Ac (0.008, 0.685, 0.945)
Ac (0.685, 0.945, 0.008)
Ac (0.945, 0.008, 0.685)
Ac (0.992, 0.315, 0.055)
Ac (0.315, 0.055, 0.992)
Ni (0.000, 0.000, 0.000)
Sn (0.690, 0.877, 0.354)
Sn (0.646, 0.310, 0.123)
Sn (0.123, 0.646, 0.310)
Sn (0.310, 0.123, 0.646)
Sn (0.354, 0.690, 0.877)
Sn (0.877, 0.354, 0.690)